A plane-wave DFT calculation with PBE was carried out for ThCd4Ag5 after structural relaxation.

- VASP energy (eV per atom) = -2.592
- DOS(E_F) (states/eV per atom) = 0.41
- DFT formation energy (meV per atom) = -58
- crystal system = tetragonal

Cell lengths 3.408, 3.408, 17.796 Å; angles 90.00, 90.00, 90.00 degrees
Fractional coordinates of all 10 atoms:
Th: 0.000 0.000 0.000
Cd: 0.000 0.000 0.216
Cd: 0.000 0.000 0.406
Cd: 0.000 0.000 0.594
Cd: 0.000 0.000 0.784
Ag: 0.500 0.500 0.123
Ag: 0.500 0.500 0.312
Ag: 0.500 0.500 0.500
Ag: 0.500 0.500 0.688
Ag: 0.500 0.500 0.877


A plane-wave DFT calculation with PBE was carried out for ThCd3Ag3 after structural relaxation.

- VASP energy (eV per atom) = -2.098
- DOS(E_F) (states/eV per atom) = 0.99
- DFT formation energy (meV per atom) = 576
- crystal system = cubic

Cell lengths 7.367, 7.367, 7.367 Å; angles 90.00, 90.00, 90.00 degrees
Fractional coordinates of all 14 atoms:
Th: 0.000 0.000 0.000
Th: 0.500 0.500 0.500
Cd: 0.000 0.250 0.500
Cd: 0.000 0.750 0.500
Cd: 0.250 0.500 0.000
Cd: 0.500 0.000 0.250
Cd: 0.500 0.000 0.750
Cd: 0.750 0.500 0.000
Ag: 0.000 0.500 0.250
Ag: 0.000 0.500 0.750
Ag: 0.250 0.000 0.500
Ag: 0.500 0.250 0.000
Ag: 0.500 0.750 0.000
Ag: 0.750 0.000 0.500


A plane-wave DFT calculation with PBE was carried out for Th2Cd3Ag2 after structural relaxation.

- VASP energy (eV per atom) = -3.375
- DOS(E_F) (states/eV per atom) = 0.75
- DFT formation energy (meV per atom) = -48
- crystal system = orthorhombic

Cell lengths 10.692, 10.692, 6.691 Å; angles 90.00, 90.00, 152.88 degrees
Fractional coordinates of all 14 atoms:
Th: 0.026 0.974 0.750
Th: 0.155 0.845 0.250
Th: 0.845 0.155 0.750
Th: 0.974 0.026 0.250
Cd: 0.187 0.813 0.750
Cd: 0.429 0.571 0.534
Cd: 0.429 0.571 0.966
Cd: 0.571 0.429 0.034
Cd: 0.571 0.429 0.466
Cd: 0.813 0.187 0.250
Ag: 0.294 0.706 0.021
Ag: 0.294 0.706 0.479
Ag: 0.706 0.294 0.521
Ag: 0.706 0.294 0.979


Q: What is the DFT formation energy in the second record?
A: 576 meV per atom


Q: Among the records above, which one has the highest VASP energy?
A: ThCd3Ag3


Q: DFT formation energy of number 1 (ThCd4Ag5)?
A: -58 meV per atom